(1)
# Cr2FeRu

Cr2FeRu after structural relaxation (PBE, the Alexandria database).

For the formation energy, the calculation gives 56 kJ/mol of formula units. Its symmetry is No. 44. The energy above the most stable polymorph in this dataset comes out at 0.029 eV per atom.

Lattice parameters (Å, degrees): 4.796 4.796 4.796 144.70 128.93 63.61
Atoms (fractional coordinates):
Cr 0.238 0.738 0.500
Fe 0.487 0.487 0.000
Cr 0.016 0.016 0.000
Ru 0.758 0.258 0.500



(2)
# Cr2FeRu

Cr2FeRu after structural relaxation (PBE, the Alexandria database).

For the formation energy, the calculation gives 277 kJ/mol of formula units. Its symmetry is No. 122. The energy above the most stable polymorph in this dataset comes out at 0.603 eV per atom.

Lattice parameters (Å, degrees): 6.436 6.436 5.182 51.62 51.62 90.00
Atoms (fractional coordinates):
Cr 0.145 0.625 0.250
Cr 0.875 0.855 0.750
Cr 0.605 0.125 0.250
Ru 0.000 0.000 0.000
Ru 0.750 0.250 0.500
Fe 0.250 0.750 0.500
Fe 0.500 0.500 0.000
Cr 0.375 0.395 0.750



(3)
# Cr2FeRu

Cr2FeRu after structural relaxation (PBE, the Alexandria database).

For the formation energy, the calculation gives 54 kJ/mol of formula units. Its symmetry is No. 47. The energy above the most stable polymorph in this dataset comes out at 0.025 eV per atom.

Lattice parameters (Å, degrees): 2.958 4.051 4.127 90.00 90.00 90.00
Atoms (fractional coordinates):
Cr 0.500 0.500 0.000
Ru 0.000 0.500 0.500
Cr 0.000 0.000 0.000
Fe 0.500 0.000 0.500



Number 1: energy -9.102 eV per atom. Number 2: energy -8.529 eV per atom. Number 3: energy -9.107 eV per atom.